Record 1
A plane-wave DFT calculation with PBE-GGA was carried out for a relaxed structure of K3Ga2Te4.

Structure (POSCAR):
```
K3Ga2Te4
1.0
7.6471 -5.9398 0.0000
7.6471 5.9398 0.0000
-0.1798 0.0000 7.6261
K Ga Te
6 4 8
Direct
0.1022 0.8978 0.7500
0.2465 0.5116 0.4549
0.4884 0.7535 0.0451
0.5116 0.2465 0.9549
0.7535 0.4884 0.5451
0.8978 0.1022 0.2500
0.0832 0.3321 0.9278
0.3321 0.0832 0.4278
0.6679 0.9168 0.5722
0.9168 0.6679 0.0722
0.0918 0.2383 0.5886
0.2016 0.5604 0.9717
0.2383 0.0918 0.0886
0.4396 0.7984 0.5283
0.5604 0.2016 0.4717
0.7617 0.9082 0.9114
0.7984 0.4396 0.0283
0.9082 0.7617 0.4114
```

Computed properties:
ΔE_f (raw) ... -16.55 kcal/mol of atoms

Record 2
A plane-wave DFT calculation with PBE-GGA was carried out for a relaxed structure of K3GaTe.

Structure (POSCAR):
```
K3GaTe
1.0
6.6531 0.0000 0.0000
0.0000 6.6531 0.0000
0.0000 0.0000 6.6531
K Ga Te
3 1 1
Direct
0.0000 0.0000 0.5000
0.0000 0.5000 0.0000
0.5000 0.0000 0.0000
0.5000 0.5000 0.5000
0.0000 0.0000 0.0000
```

Computed properties:
ΔE_f (raw) ... -5.34 kcal/mol of atoms

Record 3
A plane-wave DFT calculation with PBE-GGA was carried out for a relaxed structure of K2GaTe3.

Structure (POSCAR):
```
K2GaTe3
1.0
8.0150 0.0000 0.0000
-4.0075 6.9412 0.0000
0.0000 0.0000 11.6307
K Ga Te
4 2 6
Direct
0.0000 0.0000 0.0000
0.0000 0.0000 0.5000
0.3333 0.6667 0.2495
0.6667 0.3333 0.7505
0.3333 0.6667 0.7502
0.6667 0.3333 0.2498
0.1504 0.3008 0.7501
0.1504 0.8496 0.7501
0.3008 0.1504 0.2499
0.6992 0.8496 0.7501
0.8496 0.1504 0.2499
0.8496 0.6992 0.2499
```

Computed properties:
ΔE_f (raw) ... -12.57 kcal/mol of atoms